# 1
First-principles (PBE) data for a relaxed structure of AcThAu, as listed in OQMD.

Properties
Its total energy is -15.2 eV per cell. The calculation puts the energy above the most stable polymorph in this dataset at 0 meV/atom. The theoretical density is 10.6 g/cm3. Its formation energy is -0.128 eV per atom.

abc: 5.2635 5.2635 5.2635
angles: 60.00 60.00 60.00
Last column: nearest neighbours and their distance in Å.
Fractional coordinates of all 3 atoms:
1 Ac 0.0000 0.0000 0.0000  4 Au 3.22
2 Th 0.5000 0.5000 0.5000  4 Au 3.22
3 Au 0.2500 0.2500 0.2500  4 Ac 3.22, 4 Th 3.22

# 2
First-principles (PBE) data for a relaxed structure of AcTmAu, as listed in OQMD.

Properties
Its total energy is -12.9 eV per cell. The calculation puts the energy above the most stable polymorph in this dataset at 0 meV/atom. The theoretical density is 10.1 g/cm3. Its formation energy is -0.361 eV per atom.

abc: 5.1678 5.1678 5.1678
angles: 60.00 60.00 60.00
Last column: nearest neighbours and their distance in Å.
Fractional coordinates of all 3 atoms:
1 Ac 0.0000 0.0000 0.0000  4 Au 3.16
2 Tm 0.5000 0.5000 0.5000  4 Au 3.16
3 Au 0.2500 0.2500 0.2500  4 Tm 3.16, 4 Ac 3.16

# 3
First-principles (PBE) data for a relaxed structure of AcWAu, as listed in OQMD.

Properties
Its total energy is -17.4 eV per cell. The calculation puts the energy above the most stable polymorph in this dataset at 0 meV/atom. The theoretical density is 12.7 g/cm3. Its formation energy is 0.992 eV per atom.

abc: 4.8290 4.8290 4.8290
angles: 60.00 60.00 60.00
Last column: nearest neighbours and their distance in Å.
Fractional coordinates of all 3 atoms:
1 Ac 0.0000 0.0000 0.0000  4 W 2.96
2 W 0.7500 0.7500 0.7500  4 Au 2.96, 4 Ac 2.96
3 Au 0.5000 0.5000 0.5000  4 W 2.96

Calculated volume? In order: 34.37 32.53 26.54 Å³/atom.